Record 1
A plane-wave DFT calculation with PBE was carried out for a geometry-optimized ScH3Rh2 structure.

The calculation puts the magnetic moment at 0.00 μB/f.u. The total DFT energy (no corrections) is -135.69 eV per cell.

Geometry as CIF:
```
data_ScH3Rh2
_symmetry_space_group_name_H-M 'P 1 21/c 1'
_symmetry_Int_Tables_number 14
_cell_length_a 4.374
_cell_length_b 8.746
_cell_length_c 5.761
_cell_angle_alpha 90.00
_cell_angle_beta 90.60
_cell_angle_gamma 90.00
loop_
_symmetry_equiv_pos_as_xyz
'x,y,z'
'-x,-y,-z'
'-x,y+1/2,-z+1/2'
'x,-y+1/2,z+1/2'
loop_
_atom_site_label
_atom_site_type_symbol
_atom_site_fract_x
_atom_site_fract_y
_atom_site_fract_z
_atom_site_occupancy
Sc1 Sc 0.247 0.097 0.163 1
H1 H 0.171 0.614 0.883 1
H2 H 0.252 0.594 0.355 1
H3 H 0.353 0.206 0.851 1
Rh1 Rh 0.240 0.072 0.645 1
Rh2 Rh 0.249 0.733 0.608 1
```

***

Record 2
A plane-wave DFT calculation with PBE was carried out for a geometry-optimized ScH8Rh6 structure.

The calculation puts the magnetic moment at 0.00 μB/f.u. The total DFT energy (no corrections) is -240.07 eV per cell.

Geometry as CIF:
```
data_ScH8Rh6
_symmetry_space_group_name_H-M 'R -3'
_symmetry_Int_Tables_number 148
_symmetry_space_group_name_Hall '-R 3'
_cell_length_a 7.8106
_cell_length_b 7.8106
_cell_length_c 7.2102
_cell_angle_alpha 90.00
_cell_angle_beta 90.00
_cell_angle_gamma 120.00
loop_
_atom_site_label
_atom_site_type_symbol
_atom_site_fract_x
_atom_site_fract_y
_atom_site_fract_z
_atom_site_occupancy
Sc1 Sc 0.0000 0.0000 0.0000 1
H1 H 0.0000 0.0000 0.3060 1
H2 H 0.0385 0.4370 0.8109 1
Rh1 Rh 0.0466 0.2478 0.6645 1
```

***

Record 3
A plane-wave DFT calculation with PBE was carried out for a geometry-optimized Sc3HRh structure.

The calculation puts the magnetic moment at 0.00 μB/f.u. The total DFT energy (no corrections) is -28.33 eV per cell.

Geometry as CIF:
```
data_Sc3HRh
_symmetry_space_group_name_H-M 'P m -3 m'
_symmetry_Int_Tables_number 221
_symmetry_space_group_name_Hall '-P 4 2 3'
_cell_length_a 5.018
_cell_length_b 5.018
_cell_length_c 5.018
_cell_angle_alpha 90.00
_cell_angle_beta 90.00
_cell_angle_gamma 90.00
loop_
_atom_site_label
_atom_site_type_symbol
_atom_site_fract_x
_atom_site_fract_y
_atom_site_fract_z
_atom_site_occupancy
Sc1 Sc 0.000 0.000 0.500 1
H1 H 0.500 0.500 0.500 1
Rh1 Rh 0.000 0.000 0.000 1
```

***

Record 4
A plane-wave DFT calculation with PBE was carried out for a geometry-optimized ScH3Rh structure.

The calculation puts the magnetic moment at 0.00 μB/f.u. The total DFT energy (no corrections) is -102.83 eV per cell.

Geometry as CIF:
```
data_ScH3Rh
_symmetry_space_group_name_H-M 'C 1 2/m 1'
_symmetry_Int_Tables_number 12
_cell_length_a 10.824
_cell_length_b 3.091
_cell_length_c 5.437
_cell_angle_alpha 90.00
_cell_angle_beta 104.03
_cell_angle_gamma 90.00
loop_
_symmetry_equiv_pos_as_xyz
'x,y,z'
'-x,-y,-z'
'-x,y,-z'
'x,-y,z'
'x+1/2,y+1/2,z'
'-x+1/2,-y+1/2,-z'
'-x+1/2,y+1/2,-z'
'x+1/2,-y+1/2,z'
loop_
_atom_site_label
_atom_site_type_symbol
_atom_site_fract_x
_atom_site_fract_y
_atom_site_fract_z
_atom_site_occupancy
Sc1 Sc 0.116 0.000 0.335 1
H1 H 0.074 0.000 0.696 1
H2 H 0.191 0.500 0.535 1
H3 H 0.196 0.000 0.031 1
Rh1 Rh 0.123 0.500 0.874 1
```

***

Record 5
A plane-wave DFT calculation with PBE was carried out for a geometry-optimized ScH8Rh2 structure.

The calculation puts the magnetic moment at 0.00 μB/f.u. The total DFT energy (no corrections) is -49.51 eV per cell.

Geometry as CIF:
```
data_ScH8Rh2
_symmetry_space_group_name_H-M 'P 4/m m m'
_symmetry_Int_Tables_number 123
_symmetry_space_group_name_Hall '-P 4 2'
_cell_length_a 4.322
_cell_length_b 4.322
_cell_length_c 4.403
_cell_angle_alpha 90.00
_cell_angle_beta 90.00
_cell_angle_gamma 90.00
loop_
_atom_site_label
_atom_site_type_symbol
_atom_site_fract_x
_atom_site_fract_y
_atom_site_fract_z
_atom_site_occupancy
Sc1 Sc 0.000 0.000 0.000 1
H1 H 0.277 0.277 0.283 1
Rh1 Rh 0.000 0.500 0.500 1
```

***

Record 6
A plane-wave DFT calculation with PBE was carried out for a geometry-optimized ScH3Rh structure.

The calculation puts the magnetic moment at 0.68 μB/f.u. The total DFT energy (no corrections) is -49.37 eV per cell.

Geometry as CIF:
```
data_ScH3Rh
_symmetry_space_group_name_H-M 'P 63/m m c'
_symmetry_Int_Tables_number 194
_symmetry_space_group_name_Hall '-P 6c 2c'
_cell_length_a 3.2303
_cell_length_b 3.2303
_cell_length_c 10.0260
_cell_angle_alpha 90.00
_cell_angle_beta 90.00
_cell_angle_gamma 120.00
loop_
_atom_site_label
_atom_site_type_symbol
_atom_site_fract_x
_atom_site_fract_y
_atom_site_fract_z
_atom_site_occupancy
Sc1 Sc 0.3333 0.6667 0.2500 1
H1 H 0.0000 0.0000 0.2500 1
H2 H 0.3333 0.6667 0.0409 1
Rh1 Rh 0.0000 0.0000 0.0000 1
```

***

Record 7
A plane-wave DFT calculation with PBE was carried out for a geometry-optimized ScH3Rh3 structure.

The calculation puts the magnetic moment at 0.00 μB/f.u. The total DFT energy (no corrections) is -80.87 eV per cell.

Geometry as CIF:
```
data_ScH3Rh3
_symmetry_space_group_name_H-M 'P m -3 n'
_symmetry_Int_Tables_number 223
_symmetry_space_group_name_Hall '-P 4n 2 3'
_cell_length_a 5.264
_cell_length_b 5.264
_cell_length_c 5.264
_cell_angle_alpha 90.00
_cell_angle_beta 90.00
_cell_angle_gamma 90.00
loop_
_atom_site_label
_atom_site_type_symbol
_atom_site_fract_x
_atom_site_fract_y
_atom_site_fract_z
_atom_site_occupancy
Sc1 Sc 0.000 0.000 0.000 1
H1 H 0.000 0.250 0.500 1
Rh1 Rh 0.000 0.500 0.250 1
```

***

Record 8
A plane-wave DFT calculation with PBE was carried out for a geometry-optimized Sc2HRh structure.

The calculation puts the magnetic moment at 0.00 μB/f.u. The total DFT energy (no corrections) is -98.53 eV per cell.

Geometry as CIF:
```
data_Sc2HRh
_symmetry_space_group_name_H-M 'F m -3 m'
_symmetry_Int_Tables_number 225
_symmetry_space_group_name_Hall '-F 4 2 3'
_cell_length_a 6.310
_cell_length_b 6.310
_cell_length_c 6.310
_cell_angle_alpha 90.00
_cell_angle_beta 90.00
_cell_angle_gamma 90.00
loop_
_atom_site_label
_atom_site_type_symbol
_atom_site_fract_x
_atom_site_fract_y
_atom_site_fract_z
_atom_site_occupancy
Sc1 Sc 0.250 0.250 0.250 1
H1 H 0.000 0.000 0.000 1
Rh1 Rh 0.000 0.000 0.500 1
```

***

Record 9
A plane-wave DFT calculation with PBE was carried out for a geometry-optimized Sc2HRh structure.

The calculation puts the magnetic moment at 0.00 μB/f.u. The total DFT energy (no corrections) is -24.84 eV per cell.

Geometry as CIF:
```
data_Sc2HRh
_symmetry_space_group_name_H-M 'P 4/m m m'
_symmetry_Int_Tables_number 123
_symmetry_space_group_name_Hall '-P 4 2'
_cell_length_a 3.021
_cell_length_b 3.021
_cell_length_c 6.662
_cell_angle_alpha 90.00
_cell_angle_beta 90.00
_cell_angle_gamma 90.00
loop_
_atom_site_label
_atom_site_type_symbol
_atom_site_fract_x
_atom_site_fract_y
_atom_site_fract_z
_atom_site_occupancy
Sc1 Sc 0.000 0.000 0.239 1
H1 H 0.500 0.500 0.000 1
Rh1 Rh 0.500 0.500 0.500 1
```

***

Record 10
A plane-wave DFT calculation with PBE was carried out for a geometry-optimized Sc2H2Rh structure.

The calculation puts the magnetic moment at 0.00 μB/f.u. The total DFT energy (no corrections) is -57.21 eV per cell.

Geometry as CIF:
```
data_Sc2H2Rh
_symmetry_space_group_name_H-M 'P 4/m b m'
_symmetry_Int_Tables_number 127
_symmetry_space_group_name_Hall '-P 4 2ab'
_cell_length_a 6.342
_cell_length_b 6.342
_cell_length_c 3.023
_cell_angle_alpha 90.00
_cell_angle_beta 90.00
_cell_angle_gamma 90.00
loop_
_atom_site_label
_atom_site_type_symbol
_atom_site_fract_x
_atom_site_fract_y
_atom_site_fract_z
_atom_site_occupancy
Sc1 Sc 0.180 0.320 0.000 1
H1 H 0.121 0.621 0.500 1
Rh1 Rh 0.000 0.000 0.500 1
```

***

Record 11
A plane-wave DFT calculation with PBE was carried out for a geometry-optimized Sc2HRh structure.

The calculation puts the magnetic moment at 0.00 μB/f.u. The total DFT energy (no corrections) is -71.77 eV per cell.

Geometry as CIF:
```
data_Sc2HRh
_symmetry_space_group_name_H-M 'R -3 m'
_symmetry_Int_Tables_number 166
_symmetry_space_group_name_Hall '-R 3 2"'
_cell_length_a 3.0778
_cell_length_b 3.0778
_cell_length_c 22.2879
_cell_angle_alpha 90.00
_cell_angle_beta 90.00
_cell_angle_gamma 120.00
loop_
_atom_site_label
_atom_site_type_symbol
_atom_site_fract_x
_atom_site_fract_y
_atom_site_fract_z
_atom_site_occupancy
Sc1 Sc 0.0000 0.0000 0.1079 1
H1 H 0.0000 0.0000 0.5000 1
Rh1 Rh 0.0000 0.0000 0.0000 1
```

***

Record 12
A plane-wave DFT calculation with PBE was carried out for a geometry-optimized ScH3Rh structure.

The calculation puts the magnetic moment at 0.00 μB/f.u. The total DFT energy (no corrections) is -105.91 eV per cell.

Geometry as CIF:
```
data_ScH3Rh
_symmetry_space_group_name_H-M 'C 1 m 1'
_symmetry_Int_Tables_number 8
_cell_length_a 10.743
_cell_length_b 3.677
_cell_length_c 4.487
_cell_angle_alpha 90.00
_cell_angle_beta 90.40
_cell_angle_gamma 90.00
loop_
_symmetry_equiv_pos_as_xyz
'x,y,z'
'x,-y,z'
'x+1/2,y+1/2,z'
'x+1/2,-y+1/2,z'
loop_
_atom_site_label
_atom_site_type_symbol
_atom_site_fract_x
_atom_site_fract_y
_atom_site_fract_z
_atom_site_occupancy
Sc1 Sc 0.000 0.000 0.000 1
Sc2 Sc 0.234 0.500 0.516 1
H1 H 0.059 0.500 0.773 1
H2 H 0.072 0.500 0.226 1
H3 H 0.171 0.000 0.749 1
H4 H 0.287 0.500 0.002 1
H5 H 0.293 0.000 0.371 1
H6 H 0.452 0.500 0.500 1
Rh1 Rh 0.291 0.000 0.994 1
Rh2 Rh 0.459 0.000 0.490 1
```